VASP calculation (GGA-PBE) on a relaxed structure of Li2RhO3.

Computed properties:
Formation energy without anion corrections ... -1.4047 eV/atom
E ... -69.0 eV for the cell shown

Unit cell a=5.1511 b=5.1511 c=5.1612 alpha=99.70 beta=99.70 gamma=119.82
Last column: nearest neighbours and their distance in Å.
Fractional coordinates of all 12 atoms:
Li1 0.0000 0.0000 0.0000  6 O 2.12-2.14
Li2 0.1607 0.8393 0.5000  6 O 2.12-2.19
Li3 0.5000 0.5000 0.5000  6 O 2.09-2.18
Li4 0.8393 0.1607 0.5000  6 O 2.12-2.19
Rh1 0.3335 0.6665 0.0000  6 O 2.03-2.04
Rh2 0.6665 0.3335 0.0000  6 O 2.03-2.04
O1 0.0781 0.4268 0.2340  2 Rh 2.03, 4 Li 2.12-2.19
O2 0.2676 0.2676 0.7616  2 Rh 2.04, 4 Li 2.09-2.14
O3 0.4268 0.0781 0.2340  2 Rh 2.03, 4 Li 2.12-2.19
O4 0.5732 0.9219 0.7660  2 Rh 2.03, 4 Li 2.12-2.19
O5 0.7324 0.7324 0.2384  2 Rh 2.04, 4 Li 2.09-2.14
O6 0.9219 0.5732 0.7660  2 Rh 2.03, 4 Li 2.12-2.19